A plane-wave DFT calculation with PBE with a Hubbard U was carried out for crystalline Ba2MnCl2F4 at its relaxed geometry. Values from VASP.

Calculated values
The space group is I4/mmm. The value obtained for the total energy is -5.0527 eV per atom. Its magnetic moment is 0.111 μB/atom. Its volume is 169.86 Å³/cell.

Geometry as Quantum ESPRESSO input:
```
&SYSTEM
  ibrav = 0, nat = 9, ntyp = 4
/
ATOMIC_SPECIES
Ba 137.33 Ba.upf
Mn 54.94 Mn.upf
Cl 35.45 Cl.upf
F 19.00 F.upf
CELL_PARAMETERS angstrom
-3.165 3.165 4.240
3.165 -3.165 4.240
3.165 3.165 -4.240
ATOMIC_POSITIONS crystal
Ba 0.250 0.750 0.500
Ba 0.750 0.250 0.500
Mn 0.000 0.000 0.000
Cl 0.280 0.280 0.000
Cl 0.720 0.720 0.000
F 0.223 0.223 0.446
F 0.223 0.777 0.000
F 0.777 0.223 0.000
F 0.777 0.777 0.554
```